# Rb2PrV2O6 | Alexandria via LeMat-Bulk | PBE with a Hubbard U | relaxed
# magnetic moment	3.000	Bohr magnetons per cell
# total energy	-223.80	eV for the cell shown
# mass density	3.93	g cm⁻³
data_Rb2PrV2O6
_chemical_formula_sum 'Rb6 Pr3 V6 O18'
_cell_length_a 6.2793
_cell_length_b 6.2793
_cell_length_c 18.9274
_cell_angle_alpha 90.00
_cell_angle_beta 90.00
_cell_angle_gamma 120.00
_symmetry_space_group_name_H-M 'R -3 m'
_symmetry_Int_Tables_number 166
_symmetry_space_group_name_Hall '-R 3 2"'
loop_
_atom_site_label
_atom_site_fract_x
_atom_site_fract_y
_atom_site_fract_z
_atom_site_occupancy
Rb1 0.0000 0.0000 0.2105 1
Pr1 0.0000 0.0000 0.0000 1
V1 0.0000 0.0000 0.4209 1
O1 0.0112 0.5056 0.2541 1